# Pu5ScS6, optimized geometry, DFT PBE
data_Pu5ScS6
_space_group_name_H-M_alt 'C 1 2/m 1'
_space_group_IT_number 12
_cell_length_a 6.723
_cell_length_b 11.646
_cell_length_c 6.828
_cell_angle_alpha 90.00
_cell_angle_beta 109.20
_cell_angle_gamma 90.00
loop_
_space_group_symop_operation_xyz
'x,y,z'
'-x,-y,-z'
'-x,y,-z'
'x,-y,z'
'x+1/2,y+1/2,z'
'-x+1/2,-y+1/2,-z'
'-x+1/2,y+1/2,-z'
'x+1/2,-y+1/2,z'
loop_
_atom_site_label
_atom_site_type_symbol
_atom_site_fract_x
_atom_site_fract_y
_atom_site_fract_z
Pu1 Pu 0.000 0.000 0.000
Pu2 Pu 0.000 0.166 0.500
Pu3 Pu 0.000 0.331 0.000
Sc1 Sc 0.000 0.500 0.500
S1 S 0.242 0.500 0.254
S2 S 0.243 0.338 0.743
# Size of the total moment = 11.0 Bohr magnetons per cell
# DOS(E_F) = 68.223 states/eV per cell
# Crystal system = monoclinic
# Raw total energy = -10.32 eV per atom